Compound: Sr2Zn2Bi
Source: OQMD
Functional: GGA-PBE
Structure: relaxed

Results
**Space group**: I4/mmm (139)
**E**: -11.25 eV/f.u.
**Theoretical density**: 5.60 Mg/m³

Cell and atoms, written as extended XYZ:
```
5
Lattice="2.997 -2.997 0.000 2.997 2.997 0.000 -2.997 0.000 8.508" Properties=species:S:1:pos:R:3 pbc="T T T"
Sr 2.997 0.000 1.765
Sr 0.000 0.000 6.744
Zn 1.498 -1.498 4.254
Zn 1.498 1.498 4.254
Bi 0.000 0.000 0.000
```



Compound: NaHfAs
Source: OQMD
Functional: GGA-PBE
Structure: relaxed

Results
**Space group**: F-43m (216)
**Theoretical density**: 7.00 Mg/m³
**Distance to the lowest polymorph of the same formula**: 0 meV per atom

Cell and atoms, written as extended XYZ:
```
3
Lattice="0.000 3.200 3.200 3.200 0.000 3.200 3.200 3.200 0.000" Properties=species:S:1:pos:R:3 pbc="T T T"
Na 4.800 4.800 4.800
As 0.000 0.000 0.000
Hf 1.600 1.600 1.600
```



Compound: ScFeTe2
Source: OQMD
Functional: GGA-PBE
Structure: relaxed

Results
**Space group**: F-43m (216)
**E**: -20.21 eV/f.u.
**Theoretical density**: 6.61 Mg/m³

Cell and atoms, written as extended XYZ:
```
4
Lattice="-4.572 -1.861 0.904 -3.985 3.050 0.053 -3.389 -0.235 -3.694" Properties=species:S:1:pos:R:3 pbc="T T T"
Te 0.000 0.000 0.000
Te -8.959 0.715 -2.053
Sc -5.973 0.477 -1.368
Fe -2.986 0.238 -0.684
```



Compound: Cu7Ag
Source: OQMD
Functional: GGA-PBE
Structure: relaxed

Results
**Space group**: Cmmm (65)
**Theoretical density**: 9.14 Mg/m³
**Distance to the lowest polymorph of the same formula**: 8 meV per atom
**Formation energy**: 0.0509 eV/atom

Cell and atoms, written as extended XYZ:
```
8
Lattice="3.635 -5.243 0.000 3.635 5.243 0.000 0.000 0.000 2.635" Properties=species:S:1:pos:R:3 pbc="T T T"
Cu 3.635 2.618 1.318
Cu 5.361 -1.353 0.000
Cu 5.361 1.353 0.000
Cu 3.635 -2.618 1.318
Cu 1.908 -1.353 0.000
Cu 1.908 1.353 0.000
Cu 3.635 0.000 1.318
Ag 0.000 0.000 1.318
```



Compound: HfNbGaNi
Source: OQMD
Functional: GGA-PBE
Structure: relaxed

Results
**Space group**: F-43m (216)
**Theoretical density**: 10.02 Mg/m³
**Distance to the lowest polymorph of the same formula**: 0 meV per atom

Cell and atoms, written as extended XYZ:
```
4
Lattice="0.000 3.211 3.211 3.211 0.000 3.211 3.211 3.211 0.000" Properties=species:S:1:pos:R:3 pbc="T T T"
Ni 4.817 4.817 4.817
Hf 3.211 3.211 3.211
Ga 0.000 0.000 0.000
Nb 1.606 1.606 1.606
```



Compound: Hg2IF
Source: OQMD
Functional: GGA-PBE
Structure: relaxed

Results
**Space group**: I4mm (107)
**E**: -6.69 eV/f.u.
**Theoretical density**: 7.52 Mg/m³

Cell and atoms, written as extended XYZ:
```
4
Lattice="-2.358 2.358 5.431 2.358 -2.358 5.431 2.358 2.358 -5.431" Properties=species:S:1:pos:R:3 pbc="T T T"
F 0.000 0.000 3.585
Hg 0.000 0.000 9.705
Hg 0.000 0.000 1.451
I 0.000 0.000 6.982
```



Compound: Na3POs
Source: OQMD
Functional: GGA-PBE
Structure: relaxed

Results
**Space group**: P1 (1)
**E**: -18.93 eV/f.u.
**Theoretical density**: 4.58 Mg/m³

Cell and atoms, written as extended XYZ:
```
5
Lattice="2.632 0.000 0.000 -0.029 5.480 0.000 -0.109 -1.180 7.290" Properties=species:S:1:pos:R:3 pbc="T T T"
Na 2.211 2.748 4.539
Na 2.311 -0.054 2.408
Na 2.382 2.703 0.217
Os 0.942 -0.041 5.175
P 0.901 4.283 7.102
```



Compound: TbB4Au
Source: OQMD
Functional: GGA-PBE
Structure: relaxed

Results
**Space group**: Immm (71)
**Theoretical density**: 9.61 Mg/m³
**Distance to the lowest polymorph of the same formula**: 0 meV per atom

Cell and atoms, written as extended XYZ:
```
6
Lattice="1.649 1.994 4.421 1.755 4.683 -1.111 -4.214 -2.912 0.068" Properties=species:S:1:pos:R:3 pbc="T T T"
Tb 0.000 0.000 0.000
B 0.034 2.599 -0.591
B -0.920 2.258 1.078
B 0.109 1.507 2.300
B -0.844 1.165 3.969
Au 1.702 3.338 1.655
```



Compound: ThAl
Source: OQMD
Functional: GGA-PBE
Structure: relaxed

Results
**Space group**: F-43m (216)
**E**: -9.04 eV/f.u.
**Theoretical density**: 5.45 Mg/m³

Cell and atoms, written as extended XYZ:
```
2
Lattice="0.000 3.404 3.404 3.404 0.000 3.404 3.404 3.404 0.000" Properties=species:S:1:pos:R:3 pbc="T T T"
Al 0.000 0.000 0.000
Th 1.702 1.702 1.702
```



Compound: MgTaNO
Source: OQMD
Functional: GGA-PBE
Structure: relaxed

Results
**Space group**: Pmc2_1 (26)
**Theoretical density**: 7.53 Mg/m³
**Distance to the lowest polymorph of the same formula**: 135 meV per atom

Cell and atoms, written as extended XYZ:
```
8
Lattice="3.283 0.000 0.000 0.000 5.437 0.000 0.000 0.000 5.814" Properties=species:S:1:pos:R:3 pbc="T T T"
Ta 1.642 2.384 5.224
Ta 1.642 5.103 0.590
Mg 0.000 2.859 2.131
Mg 0.000 0.141 3.683
O 1.642 2.017 1.403
O 1.642 4.735 4.411
N 0.000 2.276 4.114
N 0.000 4.995 1.700
```



Compound: Rb3Nb6SBr17
Source: OQMD
Functional: GGA-PBE
Structure: relaxed

Results
**Space group**: C2/c (15)
**E**: -126.59 eV/f.u.
**Theoretical density**: 4.45 Mg/m³

Cell and atoms, written as extended XYZ:
```
54
Lattice="-1.700 2.635 9.042 -12.861 -1.563 -2.186 1.971 -12.431 3.770" Properties=species:S:1:pos:R:3 pbc="T T T"
Nb -3.306 -10.248 9.804
Nb -2.195 -7.659 11.538
Nb -9.262 -5.575 1.081
Nb -12.044 -4.540 1.433
Nb -1.764 -9.331 7.415
Nb -10.826 -2.028 3.210
Nb -10.396 -3.700 -0.913
Nb -4.526 -8.350 7.845
Nb -0.547 -6.819 9.192
Nb -3.328 -5.785 9.544
Nb -8.064 -3.009 2.780
Nb -9.285 -1.111 0.821
S -2.605 -8.036 9.225
S -9.985 -3.323 1.400
Br -9.819 0.321 7.755
Br -0.202 -10.492 5.328
Br -13.155 -2.095 1.838
Br -3.697 -9.487 5.659
Br -6.877 -7.986 6.444
Br -11.400 -1.191 -0.880
Br -12.388 -0.868 5.297
Br -3.924 -5.870 6.895
Br -6.779 -4.473 0.886
Br -11.795 -4.373 4.109
Br 0.564 -9.264 8.787
Br -4.723 -3.404 9.441
Br -8.894 -1.872 4.966
Br -4.112 0.584 4.289
Br -6.783 -11.186 3.324
Br -10.870 -7.497 6.544
Br -6.972 -0.769 1.990
Br -1.190 -10.168 11.505
Br -5.618 -10.591 8.635
Br -11.057 -3.399 7.566
Br -0.796 -6.986 6.516
Br -8.666 -5.489 3.730
Br -1.533 -7.960 3.060
Br -1.216 -4.292 9.164
Br 0.056 -3.165 1.101
Br -5.808 -0.173 7.301
Br -1.720 -3.862 4.081
Br -2.771 -11.680 2.870
Br -11.375 -7.067 1.461
Br -5.713 -3.373 4.181
Br -7.867 -7.955 1.184
Br -8.478 -11.943 6.336
Br -12.646 -8.194 9.524
Br -5.811 -6.887 9.739
Rb -9.837 -9.445 3.918
Rb -2.753 -1.914 6.707
Rb -9.106 -9.286 9.074
Rb -5.214 -6.819 3.316
Rb -3.484 -2.073 1.551
Rb -7.376 -4.540 7.309
```



Compound: YCoNiSn
Source: OQMD
Functional: GGA-PBE
Structure: relaxed

Results
**Space group**: F-43m (216)
**Theoretical density**: 7.54 Mg/m³
**Distance to the lowest polymorph of the same formula**: 354 meV per atom

Cell and atoms, written as extended XYZ:
```
4
Lattice="-3.232 -3.088 1.319 -2.795 0.949 3.607 -4.515 0.900 -0.725" Properties=species:S:1:pos:R:3 pbc="T T T"
Ni -5.272 -0.620 2.100
Co -7.907 -0.929 3.150
Sn 0.000 0.000 0.000
Y -2.636 -0.310 1.050
```